No. 1
First-principles (PBE) data for Ti5Ga3Rh after structural relaxation, as listed in the Alexandria database. Values from VASP.

Calculated values
- Calculated formation energy: 0.01 eV per atom

Cell and atoms, written as Quantum ESPRESSO input:
```
&SYSTEM
  ibrav = 0, nat = 18, ntyp = 3
/
ATOMIC_SPECIES
Rh 102.91 Rh.upf
Ga 69.72 Ga.upf
Ti 47.87 Ti.upf
CELL_PARAMETERS angstrom
-2.416 -4.445 -2.891
-0.175 -3.940 4.289
-9.106 2.771 2.648
ATOMIC_POSITIONS crystal
Rh 0.989 0.989 0.254
Rh 0.011 0.011 0.746
Ga 0.000 0.000 0.500
Ga 0.000 0.000 0.000
Ga 0.254 0.254 0.110
Ga 0.746 0.746 0.890
Ga 0.301 0.301 0.538
Ga 0.699 0.699 0.462
Ti 0.332 0.668 0.000
Ti 0.737 0.737 0.160
Ti 0.478 0.478 0.286
Ti 0.399 0.005 0.334
Ti 0.005 0.399 0.334
Ti 0.995 0.601 0.666
Ti 0.601 0.995 0.666
Ti 0.668 0.332 0.000
Ti 0.522 0.522 0.714
Ti 0.263 0.263 0.840
```


No. 2
First-principles (PBE) data for CsBeSbSe3 after structural relaxation, as listed in the Alexandria database. Values from VASP.

Calculated values
- Total energy: -46.9 eV/cell

Cell and atoms, written as Quantum ESPRESSO input:
```
&SYSTEM
  ibrav = 0, nat = 12, ntyp = 4
/
ATOMIC_SPECIES
Sb 121.76 Sb.upf
Cs 132.91 Cs.upf
Se 78.96 Se.upf
Be 9.01 Be.upf
CELL_PARAMETERS angstrom
4.047 0.000 0.000
0.000 10.181 0.791
0.000 -4.097 9.049
ATOMIC_POSITIONS crystal
Sb 0.250 0.657 0.141
Sb 0.750 0.343 0.859
Cs 0.250 0.187 0.229
Cs 0.750 0.813 0.771
Se 0.250 0.555 0.857
Se 0.750 0.445 0.143
Se 0.250 0.141 0.840
Se 0.750 0.859 0.160
Se 0.250 0.846 0.478
Se 0.750 0.154 0.522
Be 0.250 0.078 0.598
Be 0.750 0.922 0.402
```


No. 3
First-principles (PBE) data for CeLuNi after structural relaxation, as listed in the Alexandria database. Values from VASP.

Calculated values
- Calculated formation energy: -0.20 eV per atom
- Energy above the lowest structure with this stoichiometry: 0.000 kcal/mol of atoms

Cell and atoms, written as Quantum ESPRESSO input:
```
&SYSTEM
  ibrav = 0, nat = 3, ntyp = 3
/
ATOMIC_SPECIES
Lu 174.97 Lu.upf
Ce 140.12 Ce.upf
Ni 58.69 Ni.upf
CELL_PARAMETERS angstrom
3.353 0.000 0.000
0.000 3.353 0.000
-1.676 -1.676 6.115
ATOMIC_POSITIONS crystal
Lu 0.034 0.034 0.069
Ce 0.304 0.304 0.609
Ni 0.661 0.661 0.322
```


No. 4
First-principles (PBE) data for Ba2SrHgO after structural relaxation, as listed in the Alexandria database. Values from VASP.

Calculated values
- Total energy: -16.8 eV/cell

Cell and atoms, written as Quantum ESPRESSO input:
```
&SYSTEM
  ibrav = 0, nat = 5, ntyp = 4
/
ATOMIC_SPECIES
O 16.00 O.upf
Ba 137.33 Ba.upf
Sr 87.62 Sr.upf
Hg 200.59 Hg.upf
CELL_PARAMETERS angstrom
-1.761 0.658 -5.371
4.994 -1.977 -1.880
-1.828 -4.647 0.030
ATOMIC_POSITIONS crystal
O 0.000 0.000 0.000
Ba 0.000 0.500 0.000
Ba 0.500 0.000 0.000
Sr 0.000 0.000 0.500
Hg 0.500 0.500 0.500
```


No. 5
First-principles (PBE) data for Li12Bi3I5 after structural relaxation, as listed in the Alexandria database. Values from VASP.

Calculated values
- Total energy: -226.6 eV/cell

Cell and atoms, written as Quantum ESPRESSO input:
```
&SYSTEM
  ibrav = 0, nat = 80, ntyp = 3
/
ATOMIC_SPECIES
Li 6.94 Li.upf
I 126.90 I.upf
Bi 208.98 Bi.upf
CELL_PARAMETERS angstrom
14.265 0.000 0.000
-4.755 13.449 0.000
-4.755 -6.724 11.647
ATOMIC_POSITIONS crystal
Li 0.909 0.076 0.640
Li 0.091 0.167 0.231
Li 0.076 0.167 0.436
Li 0.731 0.140 0.064
Li 0.924 0.833 0.564
Li 0.140 0.731 0.564
Li 0.140 0.409 0.076
Li 0.640 0.576 0.909
Li 0.936 0.360 0.269
Li 0.436 0.769 0.860
Li 0.576 0.640 0.409
Li 0.167 0.076 0.936
Li 0.064 0.640 0.731
Li 0.564 0.231 0.140
Li 0.591 0.731 0.667
Li 0.436 0.667 0.076
Li 0.409 0.140 0.576
Li 0.769 0.436 0.360
Li 0.667 0.231 0.591
Li 0.576 0.936 0.667
Li 0.424 0.064 0.333
Li 0.269 0.409 0.833
Li 0.667 0.436 0.576
Li 0.424 0.360 0.591
Li 0.333 0.564 0.424
Li 0.860 0.269 0.436
Li 0.640 0.064 0.231
Li 0.924 0.091 0.860
Li 0.333 0.769 0.409
Li 0.409 0.269 0.333
Li 0.091 0.924 0.360
Li 0.591 0.860 0.424
Li 0.076 0.909 0.140
Li 0.269 0.860 0.936
Li 0.833 0.909 0.269
Li 0.231 0.564 0.640
Li 0.564 0.333 0.924
Li 0.360 0.424 0.091
Li 0.731 0.591 0.167
Li 0.360 0.936 0.769
Li 0.936 0.576 0.167
Li 0.231 0.667 0.091
Li 0.909 0.833 0.769
Li 0.064 0.424 0.833
Li 0.167 0.091 0.731
Li 0.769 0.333 0.909
Li 0.860 0.591 0.924
Li 0.833 0.924 0.064
I 0.750 0.125 0.875
I 0.500 0.000 0.500
I 0.125 0.750 0.375
I 0.625 0.750 0.875
I 0.500 0.500 0.500
I 0.125 0.375 0.250
I 0.375 0.125 0.750
I 0.625 0.875 0.250
I 0.250 0.375 0.625
I 0.875 0.250 0.625
I 0.000 0.500 0.000
I 0.750 0.625 0.375
I 0.375 0.250 0.125
I 0.250 0.875 0.125
I 0.875 0.625 0.750
I 0.000 0.000 0.000
I 0.000 0.500 0.500
I 0.000 0.000 0.500
I 0.500 0.500 0.000
I 0.500 0.000 0.000
Bi 0.750 0.375 0.125
Bi 0.125 0.875 0.750
Bi 0.625 0.375 0.750
Bi 0.125 0.250 0.875
Bi 0.750 0.875 0.625
Bi 0.375 0.625 0.250
Bi 0.875 0.750 0.125
Bi 0.250 0.125 0.375
Bi 0.250 0.625 0.875
Bi 0.625 0.250 0.375
Bi 0.875 0.125 0.250
Bi 0.375 0.750 0.625
```


No. 6
First-principles (PBE) data for CsTl2SbRh after structural relaxation, as listed in the Alexandria database. Values from VASP.

Calculated values
- Total energy: -17.4 eV/cell

Cell and atoms, written as Quantum ESPRESSO input:
```
&SYSTEM
  ibrav = 0, nat = 5, ntyp = 4
/
ATOMIC_SPECIES
Rh 102.91 Rh.upf
Tl 204.38 Tl.upf
Cs 132.91 Cs.upf
Sb 121.76 Sb.upf
CELL_PARAMETERS angstrom
5.482 0.000 0.000
0.000 5.482 0.000
0.000 0.000 5.357
ATOMIC_POSITIONS crystal
Rh 0.000 0.000 0.000
Tl 0.500 0.000 0.000
Tl 0.000 0.500 0.000
Cs 0.500 0.500 0.500
Sb 0.000 0.000 0.500
```


No. 7
First-principles (PBE) data for CaTlS2Cl after structural relaxation, as listed in the Alexandria database. Values from VASP.

Calculated values
- Energy above the lowest structure with this stoichiometry: 2.184 kcal/mol of atoms

Cell and atoms, written as Quantum ESPRESSO input:
```
&SYSTEM
  ibrav = 0, nat = 5, ntyp = 4
/
ATOMIC_SPECIES
Ca 40.08 Ca.upf
S 32.06 S.upf
Cl 35.45 Cl.upf
Tl 204.38 Tl.upf
CELL_PARAMETERS angstrom
5.144 0.000 0.000
0.000 5.144 0.000
0.000 0.000 5.264
ATOMIC_POSITIONS crystal
Ca 0.500 0.500 0.500
S 0.500 0.000 0.000
S 0.000 0.500 0.000
Cl 0.000 0.000 0.500
Tl 0.000 0.000 0.000
```


No. 8
First-principles (PBE) data for MgZn2W after structural relaxation, as listed in the Alexandria database. Values from VASP.

Calculated values
- Calculated formation energy: 0.26 eV per atom

Cell and atoms, written as Quantum ESPRESSO input:
```
&SYSTEM
  ibrav = 0, nat = 4, ntyp = 3
/
ATOMIC_SPECIES
Zn 65.41 Zn.upf
Mg 24.30 Mg.upf
W 183.84 W.upf
CELL_PARAMETERS angstrom
2.819 0.000 0.000
0.000 3.968 0.000
0.000 0.000 5.721
ATOMIC_POSITIONS crystal
Zn 0.000 0.000 0.519
Zn 0.000 0.000 0.981
Mg 0.500 0.500 0.250
W 0.500 0.500 0.750
```


No. 9
First-principles (PBE) data for BaCa2Tl after structural relaxation, as listed in the Alexandria database. Values from VASP.

Calculated values
- Calculated formation energy: -0.11 eV per atom
- Energy above the lowest structure with this stoichiometry: 3.200 kcal/mol of atoms

Cell and atoms, written as Quantum ESPRESSO input:
```
&SYSTEM
  ibrav = 0, nat = 4, ntyp = 3
/
ATOMIC_SPECIES
Ba 137.33 Ba.upf
Tl 204.38 Tl.upf
Ca 40.08 Ca.upf
CELL_PARAMETERS angstrom
12.090 0.038 0.022
11.408 4.001 0.022
11.408 1.961 3.487
ATOMIC_POSITIONS crystal
Ba 0.750 0.750 0.750
Tl 0.250 0.250 0.250
Ca 0.984 0.984 0.984
Ca 0.516 0.516 0.516
```


No. 10
First-principles (PBE) data for Ti4CrRh after structural relaxation, as listed in the Alexandria database. Values from VASP.

Calculated values
- Calculated formation energy: 0.09 eV per atom

Cell and atoms, written as Quantum ESPRESSO input:
```
&SYSTEM
  ibrav = 0, nat = 6, ntyp = 3
/
ATOMIC_SPECIES
Ti 47.87 Ti.upf
Cr 52.00 Cr.upf
Rh 102.91 Rh.upf
CELL_PARAMETERS angstrom
-0.837 1.053 -4.239
-3.812 -1.283 -1.899
-4.241 5.185 -0.207
ATOMIC_POSITIONS crystal
Ti 0.881 0.881 0.358
Ti 0.630 0.630 0.111
Ti 0.370 0.370 0.889
Ti 0.119 0.119 0.642
Cr 0.000 0.000 0.000
Rh 0.500 0.500 0.500
```


| no. | V (Å³/cell) |
| --- | --- |
| 1 | 330.6 |
| 2 | 385.9 |
| 3 | 68.7 |
| 4 | 161.7 |
| 5 | 2234.3 |
| 6 | 161.0 |
| 7 | 139.3 |
| 8 | 64.0 |
| 9 | 166.1 |
| 10 | 106.0 |